DFT (PBE) results for a relaxed structure of Li2Al2Zn2CuPd.

The calculation puts the total energy at -25.80 eV for the cell shown.

It has space group P-4m2 (No. 115), with a = 4.259 Å, b = 4.259 Å, c = 6.031 Å, α = 90.00°, β = 90.00° and γ = 90.00°. Symmetry generates all atoms from Li at (0.000, 0.000, 0.000), Li at (0.500, 0.500, 0.500), Al at (0.000, 0.500, 0.749), Zn at (0.000, 0.500, 0.260), Cu at (0.000, 0.000, 0.500) and Pd at (0.500, 0.500, 0.000).